The following is a PBE-GGA calculation of crystalline ThSc5Au4 at its relaxed geometry, from Alexandria via LeMat-Bulk.

Summary:
theoretical density = 9.703 g/cm³
DFT total energy = -5.8658 eV per atom
ΔE_f = -0.647 eV per atom

Unit cell a=3.417 b=3.417 c=18.243 alpha=90.00 beta=90.00 gamma=90.00
Element x y z (fractional)
1 Sc 0.500 0.500 0.686
2 Sc 0.500 0.500 0.870
3 Sc 0.500 0.500 0.314
4 Sc 0.500 0.500 0.130
5 Au 0.000 0.000 0.221
6 Sc 0.500 0.500 0.500
7 Th 0.000 0.000 0.000
8 Au 0.000 0.000 0.407
9 Au 0.000 0.000 0.593
10 Au 0.000 0.000 0.779



The following is a PBE-GGA calculation of crystalline Pr3Zn4Pd4 at its relaxed geometry, from Alexandria via LeMat-Bulk.

Summary:
theoretical density = 8.165 g/cm³
DFT total energy = -4.3134 eV per atom
E above lowest polymorph = 0.000 eV per atom
ΔE_f = -0.658 eV per atom

Unit cell a=4.202 b=7.423 c=8.401 alpha=116.22 beta=104.48 gamma=90.00
Element x y z (fractional)
1 Pd 0.500 0.806 0.000
2 Pd 0.216 0.716 0.433
3 Pd 0.784 0.284 0.567
4 Pr 0.130 0.130 0.260
5 Pr 0.870 0.870 0.740
6 Pd 0.500 0.194 0.000
7 Zn 0.672 0.480 0.344
8 Zn 0.672 0.864 0.344
9 Zn 0.328 0.136 0.656
10 Zn 0.328 0.520 0.656
11 Pr 0.000 0.500 0.000



The following is a PBE-GGA calculation of crystalline PuHfH2 at its relaxed geometry, from Alexandria via LeMat-Bulk.

Summary:
theoretical density = 13.358 g/cm³
DFT total energy = -7.8727 eV per atom
E above lowest polymorph = 0.103 eV per atom

Unit cell a=3.252 b=3.252 c=6.059 alpha=74.43 beta=74.43 gamma=60.00
Element x y z (fractional)
1 H 0.276 0.276 0.171
2 Hf 0.671 0.671 0.988
3 H 0.060 0.060 0.820
4 Pu 0.493 0.493 0.520



The following is a PBE-GGA calculation of crystalline BaNa5Sr4 at its relaxed geometry, from Alexandria via LeMat-Bulk.

Summary:
theoretical density = 2.134 g/cm³
DFT total energy = -1.5049 eV per atom
ΔE_f = 0.020 eV per atom

Unit cell a=4.564 b=4.564 c=22.509 alpha=90.00 beta=90.00 gamma=90.00
Element x y z (fractional)
1 Na 0.500 0.500 0.892
2 Sr 0.000 0.000 0.402
3 Na 0.500 0.500 0.500
4 Sr 0.000 0.000 0.795
5 Ba 0.000 0.000 0.000
6 Na 0.500 0.500 0.696
7 Sr 0.000 0.000 0.205
8 Na 0.500 0.500 0.108
9 Na 0.500 0.500 0.304
10 Sr 0.000 0.000 0.598